Here is a relaxed ScFeBi2H crystal from Alexandria via LeMat-Bulk. Energies are from PBE.

Structure (POSCAR):
```
ScFeBi2H
1.0
5.252 0.000 0.000
0.000 5.252 0.000
0.000 0.000 3.381
Sc Fe Bi H
1 1 2 1
Direct
0.000 0.000 0.000 Sc
0.500 0.500 0.000 Fe
0.000 0.500 0.500 Bi
0.500 0.000 0.500 Bi
0.500 0.500 0.500 H
```

## Properties
space-group type: No. 123
total energy: -5.103 eV/atom